(1)
Compound: Cs2CdTcF6
Source: Alexandria
Functional: GGA-PBE
Structure: relaxed

Lattice parameters (Å, degrees): 6.9488 6.9488 6.9486 60.00 60.00 90.00
Positions (direct):
Cs 0.7500 0.2500 0.5000
Cs 0.2500 0.7500 0.5000
F 0.2988 0.2988 0.4024
F 0.7012 0.7012 0.5976
F 0.2988 0.2988 0.0000
F 0.7012 0.7012 0.0000
F 0.7012 0.2988 0.0000
F 0.2988 0.7012 0.0000
Tc 0.5000 0.5000 0.0000
Cd 0.0000 0.0000 0.0000

Computed properties:
E: -46.29 eV per formula unit
Fermi-level density of states: 0.00 states/eV per atom
formation energy (no corrections): -22.078 eV per formula unit



(2)
Compound: KMn2AsPt
Source: Alexandria
Functional: GGA-PBE
Structure: relaxed

Lattice parameters (Å, degrees): 4.8252 4.9371 4.8252 90.00 90.00 90.00
Positions (direct):
As 0.0000 0.0000 0.0000
Mn 0.0000 0.0000 0.5000
Mn 0.5000 0.0000 0.0000
K 0.5000 0.5000 0.5000
Pt 0.0000 0.5000 0.0000

Computed properties:
E: -28.34 eV per formula unit
Fermi-level density of states: 0.83 states/eV per atom
ΔH_f (0 K): 0.358 eV/atom



(3)
Compound: BaMg2Hg2
Source: Alexandria
Functional: GGA-PBE
Structure: relaxed

Lattice parameters (Å, degrees): 4.7117 4.7117 7.3390 71.28 71.28 90.00
Positions (direct):
Mg 0.7500 0.2500 0.5000
Mg 0.2500 0.7500 0.5000
Hg 0.3818 0.3818 0.2364
Hg 0.6182 0.6182 0.7636
Ba 0.0000 0.0000 0.0000

Computed properties:
E: -7.56 eV per formula unit
Fermi-level density of states: 0.73 states/eV per atom
ΔH_f (0 K): -0.369 eV/atom
E above lowest polymorph: 0.000 eV/atom



(4)
Compound: TmTh2Cd
Source: Alexandria
Functional: GGA-PBE
Structure: relaxed

Lattice parameters (Å, degrees): 3.4703 3.4703 9.9660 90.00 90.00 90.00
Positions (direct):
Tm 0.5000 0.5000 0.5000
Th 0.0000 0.0000 0.7607
Th 0.0000 0.0000 0.2393
Cd 0.5000 0.5000 0.0000

Computed properties:
E: -20.20 eV per formula unit
Fermi-level density of states: 1.04 states/eV per atom
ΔH_f (0 K): 0.006 eV/atom
E above lowest polymorph: 0.000 eV/atom



(5)
Compound: EuMgTl4
Source: Alexandria
Functional: GGA-PBE
Structure: relaxed

Lattice parameters (Å, degrees): 6.4024 6.4024 6.4024 60.00 60.00 60.00
Positions (direct):
Eu 0.0000 0.0000 0.0000
Tl 0.6249 0.6249 0.1254
Tl 0.6249 0.1254 0.6249
Tl 0.6249 0.6249 0.6249
Tl 0.1254 0.6249 0.6249
Mg 0.2500 0.2500 0.2500

Computed properties:
E: -21.58 eV per formula unit
Fermi-level density of states: 0.29 states/eV per atom
ΔH_f (0 K): -0.041 eV/atom



(6)
Compound: SrGe3Ru
Source: Alexandria
Functional: GGA-PBE
Structure: relaxed

Lattice parameters (Å, degrees): 5.4011 5.4011 5.4011 90.00 90.00 90.00
Positions (direct):
Ru 0.5000 0.5000 0.5000
Ge 0.0000 0.5000 0.0000
Ge 0.0000 0.0000 0.5000
Ge 0.5000 0.0000 0.0000
Sr 0.0000 0.0000 0.0000

Computed properties:
E: -15.04 eV per formula unit
Fermi-level density of states: 1.54 states/eV per atom
ΔH_f (0 K): 1.955 eV/atom



(7)
Compound: Cs3PuPb2S6
Source: Alexandria
Functional: GGA-PBE
Structure: relaxed

Lattice parameters (Å, degrees): 7.4289 7.4289 8.3018 98.54 98.54 119.84
Positions (direct):
Cs 0.1762 0.8238 0.5000
Cs 0.8238 0.1762 0.5000
Cs 0.5000 0.5000 0.5000
Pu 0.0000 0.0000 0.0000
Pb 0.3345 0.6655 0.0000
Pb 0.6655 0.3345 0.0000
S 0.9390 0.6392 0.8159
S 0.7645 0.7645 0.1887
S 0.0610 0.3608 0.1841
S 0.6392 0.9390 0.8159
S 0.2355 0.2355 0.8113
S 0.3608 0.0610 0.1841

Computed properties:
E: -61.37 eV per formula unit
Fermi-level density of states: 0.73 states/eV per atom
formation energy (no corrections): -12.294 eV per formula unit



(8)
Compound: LaPaAs2
Source: Alexandria
Functional: GGA-PBE
Structure: relaxed

Lattice parameters (Å, degrees): 4.1336 4.1336 7.6695 74.37 74.37 60.00
Positions (direct):
La 0.4947 0.4947 0.5158
Pa 0.6704 0.6704 0.9888
As 0.0767 0.0767 0.7700
As 0.2582 0.2582 0.2254

Computed properties:
E: -28.43 eV per formula unit
Fermi-level density of states: 0.82 states/eV per atom
ΔH_f (0 K): -1.176 eV/atom
E above lowest polymorph: 0.127 eV/atom



(9)
Compound: Ca3ScO
Source: Alexandria
Functional: GGA-PBE
Structure: relaxed

Lattice parameters (Å, degrees): 5.8613 5.8613 5.8613 90.00 90.00 90.00
Positions (direct):
Sc 0.0000 0.0000 0.0000
Ca 0.0000 0.5000 0.0000
Ca 0.0000 0.0000 0.5000
Ca 0.5000 0.0000 0.0000
O 0.5000 0.5000 0.5000

Computed properties:
E: -12.23 eV per formula unit
Fermi-level density of states: 0.52 states/eV per atom
formation energy (no corrections): 5.069 eV per formula unit
E above lowest polymorph: 1.882 eV/atom



(10)
Compound: LiSi2Cl8
Source: Alexandria
Functional: GGA-PBE
Structure: relaxed

Lattice parameters (Å, degrees): 6.3359 7.8619 7.8619 69.39 87.35 87.35
Positions (direct):
Li 0.0000 0.0000 0.0000
Si 0.6769 0.8171 0.8171
Si 0.3231 0.1829 0.1829
Cl 0.1992 0.2862 0.9142
Cl 0.8008 0.0858 0.7138
Cl 0.3418 0.8264 0.8264
Cl 0.6582 0.1736 0.1736
Cl 0.1992 0.9142 0.2862
Cl 0.8008 0.7138 0.0858
Cl 0.7925 0.6632 0.6632
Cl 0.2075 0.3368 0.3368

Computed properties:
E: -39.38 eV per formula unit
Fermi-level density of states: 0.37 states/eV per atom
formation energy (no corrections): -11.845 eV per formula unit